[1]
This record from the Open Quantum Materials Database describes crystalline SrSi2NiSn at its relaxed geometry. The functional is PBE-GGA.

Computed properties:
Theoretical density = 5.4 g/cm³
Crystal system = tetragonal
DFT total energy = -23.9 eV/cell

Structure (POSCAR):
```
SrSi2NiSn
1.0
2.509 1.986 5.081
-2.320 4.925 2.536
-2.038 -5.220 -2.159
Ni Si Sn Sr
1 2 1 1
Direct
0.257 0.257 0.000 Ni
0.840 0.340 0.500 Si
0.340 0.840 0.500 Si
0.006 0.006 0.000 Sn
0.602 0.602 0.000 Sr
```

[2]
This record from the Open Quantum Materials Database describes crystalline NaFePt at its relaxed geometry. The functional is PBE-GGA.

Computed properties:
Energy relative to the lowest polymorph listed for this composition = 0.00 eV/f.u.
Theoretical density = 8.3 g/cm³
Crystal system = cubic
DFT total energy = -14.3 eV/cell

Structure (POSCAR):
```
NaFePt
1.0
2.637 -1.581 2.953
-1.236 -3.282 2.423
1.763 -3.841 -0.554
Fe Na Pt
1 1 1
Direct
0.000 0.000 0.000 Fe
0.250 0.250 0.250 Na
0.750 0.750 0.750 Pt
```

[3]
This record from the Open Quantum Materials Database describes crystalline Cs2K2HgAs2 at its relaxed geometry. The functional is PBE-GGA.

Computed properties:
Energy relative to the lowest polymorph listed for this composition = 0.00 eV/f.u.
Theoretical density = 3.7 g/cm³
Crystal system = trigonal
DFT total energy = -16.6 eV/cell

Structure (POSCAR):
```
Cs2K2HgAs2
1.0
2.993 1.728 10.056
-2.993 1.728 10.056
0.000 -3.456 10.056
As Cs Hg K
2 2 1 2
Direct
0.084 0.084 0.084 As
0.916 0.916 0.916 As
0.207 0.207 0.207 Cs
0.793 0.793 0.793 Cs
0.000 0.000 0.000 Hg
0.387 0.387 0.387 K
0.613 0.613 0.613 K
```

[4]
This record from the Open Quantum Materials Database describes crystalline ZrBi at its relaxed geometry. The functional is PBE-GGA.

Computed properties:
Theoretical density = 9.8 g/cm³
Crystal system = orthorhombic
DFT total energy = -102.1 eV/cell

Structure (POSCAR):
```
ZrBi
1.0
-5.081 0.933 2.343
1.917 -9.906 8.101
2.314 3.434 3.652
Bi Zr
8 8
Direct
0.991 0.501 0.000 Bi
0.505 0.628 0.000 Bi
0.505 0.872 0.000 Bi
0.991 0.999 0.000 Bi
0.343 0.001 0.500 Bi
0.828 0.128 0.500 Bi
0.828 0.372 0.500 Bi
0.343 0.499 0.500 Bi
0.480 0.127 0.000 Zr
0.985 0.250 0.000 Zr
0.480 0.373 0.000 Zr
0.995 0.750 0.000 Zr
0.338 0.250 0.500 Zr
0.853 0.627 0.500 Zr
0.348 0.750 0.500 Zr
0.853 0.873 0.500 Zr
```

[5]
This record from the Open Quantum Materials Database describes crystalline NbCoSiOs at its relaxed geometry. The functional is PBE-GGA.

Computed properties:
Energy relative to the lowest polymorph listed for this composition = 0.00 eV/f.u.
Theoretical density = 11.0 g/cm³
Crystal system = cubic
DFT total energy = -34.9 eV/cell

Structure (POSCAR):
```
NbCoSiOs
1.0
0.000 3.037 3.037
3.037 0.000 3.037
3.037 3.037 0.000
Co Nb Os Si
1 1 1 1
Direct
0.750 0.750 0.750 Co
0.500 0.500 0.500 Nb
0.250 0.250 0.250 Os
0.000 0.000 0.000 Si
```

[6]
This record from the Open Quantum Materials Database describes crystalline Pd2CCl2 at its relaxed geometry. The functional is PBE-GGA.

Computed properties:
Theoretical density = 5.6 g/cm³
Crystal system = trigonal
DFT total energy = -21.9 eV/cell

Structure (POSCAR):
```
Pd2CCl2
1.0
2.892 -1.670 0.000
2.892 1.670 0.000
-0.002 0.000 9.153
C Cl Pd
1 2 2
Direct
0.000 0.000 0.500 C
0.333 0.333 0.197 Cl
0.667 0.667 0.803 Cl
0.667 0.667 0.383 Pd
0.333 0.333 0.617 Pd
```

[7]
This record from the Open Quantum Materials Database describes crystalline Ba2YOsS6 at its relaxed geometry. The functional is PBE-GGA.

Computed properties:
Energy relative to the lowest polymorph listed for this composition = 0.15 eV/f.u.
Theoretical density = 5.0 g/cm³
Crystal system = cubic
DFT total energy = -58.9 eV/cell

Structure (POSCAR):
```
Ba2YOsS6
1.0
6.522 -1.606 2.086
-1.862 1.120 6.689
-3.645 -4.533 -3.954
Ba Os S Y
2 1 6 1
Direct
0.750 0.250 0.500 Ba
0.250 0.750 0.500 Ba
0.000 0.000 0.000 Os
0.236 0.236 0.000 S
0.764 0.236 0.000 S
0.236 0.764 0.000 S
0.764 0.764 0.000 S
0.236 0.236 0.473 S
0.764 0.764 0.527 S
0.500 0.500 0.000 Y
```

[8]
This record from the Open Quantum Materials Database describes crystalline GaHgSb at its relaxed geometry. The functional is PBE-GGA.

Computed properties:
Theoretical density = 7.6 g/cm³
Crystal system = cubic
DFT total energy = -7.2 eV/cell

Structure (POSCAR):
```
GaHgSb
1.0
-1.160 2.345 4.205
-3.105 3.858 -0.092
-4.551 -0.438 1.905
Ga Hg Sb
1 1 1
Direct
0.250 0.250 0.250 Ga
0.750 0.750 0.750 Hg
0.000 0.000 0.000 Sb
```

Among the records above, which one has the lowest theoretical density? Cs2K2HgAs2